Entry 1:
Here is LiAg2HgPd after structural relaxation from the Alexandria database. Energies are from PBE.

a = 5.2742 Å, b = 5.2742 Å, c = 8.3995 Å
α = 90.00°, β = 90.00°, γ = 127.97°
Last column: nearest neighbours and their distance in Å.
Atoms (fractional coordinates):
Li 0.0000 0.0000 0.0000  2 Pd 2.55, 2 Ag 2.86
Li 0.0000 0.0000 0.5000  2 Pd 2.55, 2 Ag 2.86
Ag 0.2942 0.7058 0.5728  3 Ag 2.75-2.98, 3 Pd 2.80-3.02, 1 Li 2.86, 2 Hg 2.90-3.06
Ag 0.2942 0.7058 0.9272  3 Ag 2.75-2.98, 3 Pd 2.80-3.02, 1 Li 2.86, 2 Hg 2.90-3.06
Ag 0.7058 0.2942 0.0728  3 Ag 2.75-2.98, 3 Pd 2.80-3.02, 1 Li 2.86, 2 Hg 2.90-3.06
Ag 0.7058 0.2942 0.4272  3 Ag 2.75-2.98, 3 Pd 2.80-3.02, 1 Li 2.86, 2 Hg 2.90-3.06
Hg 0.4429 0.5571 0.2500  3 Pd 2.75-3.05, 4 Ag 2.90-3.06
Hg 0.5571 0.4429 0.7500  3 Pd 2.75-3.05, 4 Ag 2.90-3.06
Pd 0.1534 0.8466 0.2500  2 Li 2.55, 1 Hg 2.75, 4 Ag 2.80
Pd 0.8466 0.1534 0.7500  2 Li 2.55, 1 Hg 2.75, 4 Ag 2.80

- Calculated total energy: -27.644 eV for the cell shown
- DOS at the Fermi energy: 0.298 states/eV/atom
- ΔH_f (0 K): -0.142 eV per atom
- Crystal system: orthorhombic

Entry 2:
Here is CdH5 after structural relaxation from the Alexandria database. Energies are from PBE.

a = 5.2048 Å, b = 5.2048 Å, c = 3.9529 Å
α = 90.00°, β = 90.00°, γ = 152.12°
Last column: nearest neighbours and their distance in Å.
Atoms (fractional coordinates):
Cd 0.0000 0.0000 0.0000  4 H 1.92
H 0.2506 0.7494 0.5000  2 H 1.25
H 0.3555 0.6445 0.0000  2 Cd 1.92
H 0.5000 0.5000 0.5000  4 Cd 2.34, 8 H 2.46-2.52
H 0.6445 0.3555 0.0000  2 Cd 1.92
H 0.7494 0.2506 0.5000  2 H 1.25

- Calculated total energy: -12.993 eV for the cell shown
- DOS at the Fermi energy: 0.126 states/eV/atom
- Crystal system: orthorhombic

Entry 3:
Here is YCrSn after structural relaxation from the Alexandria database. Energies are from PBE.

a = 3.8208 Å, b = 4.6430 Å, c = 7.6127 Å
α = 90.00°, β = 90.00°, γ = 90.00°
Last column: nearest neighbours and their distance in Å.
Atoms (fractional coordinates):
Y 0.0000 0.0000 0.0000  8 Sn 3.33, 4 Cr 3.45
Y 0.0000 0.5000 0.5000  4 Sn 3.05, 8 Cr 3.15
Cr 0.5000 0.0000 0.3781  1 Cr 1.86
Cr 0.5000 0.0000 0.6219  1 Cr 1.86
Sn 0.5000 0.5000 0.1874  2 Cr 2.74, 1 Sn 2.85, 2 Y 3.05
Sn 0.5000 0.5000 0.8126  2 Cr 2.74, 1 Sn 2.85, 2 Y 3.05

- Calculated total energy: -40.614 eV for the cell shown
- DOS at the Fermi energy: 0.721 states/eV/atom
- ΔH_f (0 K): -0.072 eV per atom
- Crystal system: orthorhombic

Entry 4:
Here is HoErTl2 after structural relaxation from the Alexandria database. Energies are from PBE.

a = 3.7655 Å, b = 3.7655 Å, c = 7.5527 Å
α = 90.00°, β = 90.00°, γ = 90.00°
Last column: nearest neighbours and their distance in Å.
Atoms (fractional coordinates):
Ho 0.0000 0.0000 0.0000  8 Tl 3.27
Er 0.0000 0.0000 0.5000  8 Tl 3.26
Tl 0.5000 0.5000 0.2513  4 Er 3.26, 4 Ho 3.27
Tl 0.5000 0.5000 0.7487  4 Er 3.26, 4 Ho 3.27

- Calculated total energy: -15.155 eV for the cell shown
- DOS at the Fermi energy: 0.678 states/eV/atom
- ΔH_f (0 K): -0.321 eV per atom
- Crystal system: tetragonal

Entry 5:
Here is KBeAu after structural relaxation from the Alexandria database. Energies are from PBE.

a = 4.7121 Å, b = 4.7121 Å, c = 4.7121 Å
α = 60.00°, β = 60.00°, γ = 60.00°
Last column: nearest neighbours and their distance in Å.
Atoms (fractional coordinates):
K 0.0000 0.0000 0.0000  4 Be 2.89
Be 0.7500 0.7500 0.7500  4 K 2.89, 4 Au 2.89
Au 0.5000 0.5000 0.5000  4 Be 2.89

- Calculated total energy: -6.346 eV for the cell shown
- DOS at the Fermi energy: 0.531 states/eV/atom
- ΔH_f (0 K): 0.585 eV per atom
- Crystal system: cubic

Entry 6:
Here is In12Ge5Bi3 after structural relaxation from the Alexandria database. Energies are from PBE.

a = 14.8753 Å, b = 14.8753 Å, c = 14.8753 Å
α = 109.47°, β = 109.47°, γ = 109.47°
Last column: nearest neighbours and their distance in Å.
Atoms (fractional coordinates):
In 0.0418 0.2149 0.1241  2 Ge 2.70-2.83
In 0.0418 0.3269 0.9176  2 Ge 2.70-2.83
In 0.0824 0.6241 0.4093  2 Ge 2.70-2.83
In 0.0824 0.9582 0.6731  2 Ge 2.70-2.83
In 0.0907 0.7149 0.6731  2 Ge 2.70-2.83
In 0.0907 0.8759 0.4176  2 Ge 2.70-2.83
In 0.1241 0.0418 0.2149  2 Ge 2.70-2.83
In 0.1241 0.5824 0.9093  2 Ge 2.70-2.83
In 0.1731 0.2149 0.5907  2 Ge 2.70-2.83
In 0.1731 0.4582 0.5824  2 Ge 2.70-2.83
In 0.2149 0.1241 0.0418  2 Ge 2.70-2.83
In 0.2149 0.5907 0.1731  2 Ge 2.70-2.83
In 0.2851 0.3269 0.9093  2 Ge 2.70-2.83
In 0.2851 0.4582 0.3759  2 Ge 2.70-2.83
In 0.3269 0.9093 0.2851  2 Ge 2.70-2.83
In 0.3269 0.9176 0.0418  2 Ge 2.70-2.83
In 0.3759 0.2851 0.4582  2 Ge 2.70-2.83
In 0.3759 0.5907 0.9176  2 Ge 2.70-2.83
In 0.4093 0.0824 0.6241  2 Ge 2.70-2.83
In 0.4093 0.8269 0.7851  2 Ge 2.70-2.83
In 0.4176 0.0907 0.8759  2 Ge 2.70-2.83
In 0.4176 0.8269 0.5418  2 Ge 2.70-2.83
In 0.4582 0.3759 0.2851  2 Ge 2.70-2.83
In 0.4582 0.5824 0.1731  2 Ge 2.70-2.83
In 0.5418 0.4176 0.8269  2 Ge 2.70-2.83
In 0.5418 0.6241 0.7149  2 Ge 2.70-2.83
In 0.5824 0.1731 0.4582  2 Ge 2.70-2.83
In 0.5824 0.9093 0.1241  2 Ge 2.70-2.83
In 0.5907 0.1731 0.2149  2 Ge 2.70-2.83
In 0.5907 0.9176 0.3759  2 Ge 2.70-2.83
In 0.6241 0.4093 0.0824  2 Ge 2.70-2.83
In 0.6241 0.7149 0.5418  2 Ge 2.70-2.83
In 0.6731 0.0824 0.9582  2 Ge 2.70-2.83
In 0.6731 0.0907 0.7149  2 Ge 2.70-2.83
In 0.7149 0.5418 0.6241  2 Ge 2.70-2.83
In 0.7149 0.6731 0.0907  2 Ge 2.70-2.83
In 0.7851 0.4093 0.8269  2 Ge 2.70-2.83
In 0.7851 0.8759 0.9582  2 Ge 2.70-2.83
In 0.8269 0.5418 0.4176  2 Ge 2.70-2.83
In 0.8269 0.7851 0.4093  2 Ge 2.70-2.83
In 0.8759 0.4176 0.0907  2 Ge 2.70-2.83
In 0.8759 0.9582 0.7851  2 Ge 2.70-2.83
In 0.9093 0.1241 0.5824  2 Ge 2.70-2.83
In 0.9093 0.2851 0.3269  2 Ge 2.70-2.83
In 0.9176 0.0418 0.3269  2 Ge 2.70-2.83
In 0.9176 0.3759 0.5907  2 Ge 2.70-2.83
In 0.9582 0.6731 0.0824  2 Ge 2.70-2.83
In 0.9582 0.7851 0.8759  2 Ge 2.70-2.83
Ge 0.0000 0.0000 0.0000  6 In 2.83
Ge 0.0000 0.0000 0.5000  6 In 2.83
Ge 0.0000 0.5000 0.0000  6 In 2.83
Ge 0.0000 0.5000 0.5000  6 In 2.83
Ge 0.1250 0.7500 0.8750  4 In 2.70
Ge 0.1250 0.8750 0.2500  4 In 2.70
Ge 0.2500 0.1250 0.8750  4 In 2.70
Ge 0.2500 0.6250 0.3750  4 In 2.70
Ge 0.3750 0.2500 0.6250  4 In 2.70
Ge 0.3750 0.6250 0.7500  4 In 2.70
Ge 0.5000 0.0000 0.0000  6 In 2.83
Ge 0.5000 0.0000 0.5000  6 In 2.83
Ge 0.5000 0.5000 0.0000  6 In 2.83
Ge 0.5000 0.5000 0.5000  6 In 2.83
Ge 0.6250 0.3750 0.2500  4 In 2.70
Ge 0.6250 0.7500 0.3750  4 In 2.70
Ge 0.7500 0.3750 0.6250  4 In 2.70
Ge 0.7500 0.8750 0.1250  4 In 2.70
Ge 0.8750 0.1250 0.7500  4 In 2.70
Ge 0.8750 0.2500 0.1250  4 In 2.70
Bi 0.1250 0.2500 0.3750  8 In 3.21-3.30
Bi 0.1250 0.3750 0.7500  8 In 3.21-3.30
Bi 0.2500 0.3750 0.1250  8 In 3.21-3.30
Bi 0.2500 0.8750 0.6250  8 In 3.21-3.30
Bi 0.3750 0.1250 0.2500  8 In 3.21-3.30
Bi 0.3750 0.7500 0.1250  8 In 3.21-3.30
Bi 0.6250 0.2500 0.8750  8 In 3.21-3.30
Bi 0.6250 0.8750 0.7500  8 In 3.21-3.30
Bi 0.7500 0.1250 0.3750  8 In 3.21-3.30
Bi 0.7500 0.6250 0.8750  8 In 3.21-3.30
Bi 0.8750 0.6250 0.2500  8 In 3.21-3.30
Bi 0.8750 0.7500 0.6250  8 In 3.21-3.30

- Calculated total energy: -256.499 eV for the cell shown
- DOS at the Fermi energy: 0.789 states/eV/atom
- ΔH_f (0 K): 0.173 eV per atom
- Crystal system: cubic

Entry 7:
Here is TmCu2Pd4 after structural relaxation from the Alexandria database. Energies are from PBE.

a = 6.9888 Å, b = 6.9888 Å, c = 6.9888 Å
α = 37.20°, β = 37.20°, γ = 37.20°
Last column: nearest neighbours and their distance in Å.
Atoms (fractional coordinates):
Tm 0.0000 0.0000 0.0000  6 Pd 2.75, 2 Cu 2.93
Cu 0.1502 0.1502 0.1502  4 Pd 2.60-2.76, 3 Cu 2.65
Cu 0.8498 0.8498 0.8498  4 Pd 2.60-2.76, 3 Cu 2.65
Pd 0.2838 0.2838 0.2838  1 Cu 2.60, 3 Tm 2.75, 4 Pd 2.75-2.91
Pd 0.4328 0.4328 0.4328  5 Pd 2.62-2.91, 3 Cu 2.76
Pd 0.5672 0.5672 0.5672  5 Pd 2.62-2.91, 3 Cu 2.76
Pd 0.7162 0.7162 0.7162  1 Cu 2.60, 3 Tm 2.75, 4 Pd 2.75-2.91

- Calculated total energy: -36.159 eV for the cell shown
- DOS at the Fermi energy: 0.242 states/eV/atom
- ΔH_f (0 K): -0.389 eV per atom
- Crystal system: trigonal

Entry 8:
Here is Li2AcCd7 after structural relaxation from the Alexandria database. Energies are from PBE.

a = 7.6994 Å, b = 7.6994 Å, c = 4.5464 Å
α = 90.00°, β = 90.00°, γ = 101.74°
Last column: nearest neighbours and their distance in Å.
Atoms (fractional coordinates):
Li 0.2341 0.7659 0.0000  4 Cd 2.63-2.69
Li 0.7659 0.2341 0.0000  4 Cd 2.63-2.69
Ac 0.0000 0.0000 0.5000  4 Li 3.60, 8 Cd 3.62
Cd 0.1166 0.3709 0.0000  2 Li 2.69-2.99, 2 Cd 2.92-2.94
Cd 0.3448 0.6552 0.5000  2 Li 2.63, 2 Cd 2.93
Cd 0.3709 0.1166 0.0000  2 Li 2.69-2.99, 2 Cd 2.92-2.94
Cd 0.5000 0.5000 0.0000  8 Cd 2.92-2.93, 2 Li 3.18
Cd 0.6291 0.8834 0.0000  2 Li 2.69-2.99, 2 Cd 2.92-2.94
Cd 0.6552 0.3448 0.5000  2 Li 2.63, 2 Cd 2.93
Cd 0.8834 0.6291 0.0000  2 Li 2.69-2.99, 2 Cd 2.92-2.94

- Calculated total energy: -14.668 eV for the cell shown
- DOS at the Fermi energy: 0.527 states/eV/atom
- ΔH_f (0 K): -0.033 eV per atom
- Crystal system: orthorhombic